Entry 1:
18
Lattice="-2.192 2.616 3.323 -6.636 -3.079 0.225 1.271 -3.883 6.073" Properties=species:S:1:pos:R:3 comment="Ni3Ir2Rh4 (PBE, relaxed)" energy_ev_per_fu=-63.1 e_form_ev_per_fu=1.36 polymorph_energy_kj_per_mol_atoms=12.4 pbc="T T T"
Rh -4.614 -2.607 0.951
Rh -1.028 -1.775 6.076
Rh -2.942 -3.646 6.624
Rh -4.616 -0.700 2.996
Rh -6.529 -2.570 3.545
Rh -2.943 -1.739 8.669
Rh -0.529 -2.312 3.546
Rh -7.028 -2.034 6.074
Ni -3.297 -2.820 3.931
Ni -2.118 0.780 2.137
Ni -5.439 -5.125 7.484
Ni -0.230 -0.609 1.061
Ni -4.261 -1.526 5.690
Ni -7.328 -3.737 8.560
Ir -2.390 -1.665 1.777
Ir -5.236 -3.870 5.321
Ir -5.167 -2.681 7.844
Ir -2.322 -0.476 4.300

---

Entry 2:
3
Lattice="-1.588 -0.198 -2.752 3.182 0.086 -0.001 0.207 -7.672 0.432" Properties=species:S:1:pos:R:3 comment="CaTlW (PBE, relaxed)" energy_ev_per_fu=-15.0 e_form_ev_per_fu=2.34 polymorph_energy_kj_per_mol_atoms=11.0 pbc="T T T"
W 1.729 -5.094 -0.632
Ca 0.204 -7.572 0.426
Tl 0.075 -2.790 -1.684

---

Entry 3:
16
Lattice="-2.178 -4.435 6.182 3.624 -6.896 1.396 3.840 2.681 3.275" Properties=species:S:1:pos:R:3 comment="Zr5Ru3 (PBE, relaxed)" energy_ev_per_fu=-73.8 e_form_ev_per_fu=-3.26 polymorph_energy_kj_per_mol_atoms=6.6 pbc="T T T"
Zr 2.883 -6.214 6.690
Zr 2.402 -2.437 4.164
Zr 0.482 -3.777 2.526
Zr 1.220 -1.369 7.168
Zr 3.742 0.369 2.789
Zr 4.065 -7.281 3.686
Zr 3.721 -4.585 1.882
Zr 5.123 -4.300 4.991
Zr 0.163 -4.350 5.862
Zr 0.964 -7.554 5.052
Ru -0.346 -1.989 4.526
Ru 2.411 -2.091 1.378
Ru 3.024 -3.410 6.723
Ru 2.261 -5.240 4.131
Ru 5.631 -6.661 6.327
Ru 5.053 -2.125 3.294

---

Entry 4:
6
Lattice="-3.428 -1.123 1.812 2.413 -2.781 -1.655 3.745 -0.705 6.648" Properties=species:S:1:pos:R:3 comment="ThScNi2As2 (PBE, relaxed)" energy_ev_per_fu=-40.6 e_form_ev_per_fu=-6.03 pbc="T T T"
As 1.218 -2.184 5.447
As 1.513 -2.425 1.358
Th 0.000 0.000 0.000
Ni 3.274 -2.757 4.483
Ni -0.543 -1.852 2.322
Sc 1.873 -0.352 3.324

---

Entry 5:
3
Lattice="-1.730 -5.212 0.505 2.103 -3.930 -3.247 3.357 -3.827 2.122" Properties=species:S:1:pos:R:3 comment="AcPmPb (PBE, relaxed)" energy_ev_per_fu=-13.2 e_form_ev_per_fu=-0.67 polymorph_energy_kj_per_mol_atoms=20.3 pbc="T T T"
Ac 1.865 -6.485 -0.310
Pm 0.000 0.000 0.000
Pb 0.932 -3.242 -0.155

---

Entry 6:
16
Lattice="-0.033 6.101 -3.929 -4.778 3.032 4.544 7.039 -2.154 3.161" Properties=species:S:1:pos:R:3 comment="Cd4PSF2 (PBE, relaxed)" energy_ev_per_fu=-23.1 pbc="T T T"
P 7.006 3.948 -0.768
P 1.114 3.490 1.888
Cd -0.462 2.650 3.874
Cd 0.188 5.956 2.418
Cd -0.806 2.544 0.315
Cd 3.144 1.629 5.299
Cd 2.690 4.330 -0.098
Cd 3.034 4.436 3.461
Cd 2.040 1.024 1.358
Cd -0.916 5.351 -1.523
S -2.389 1.516 2.272
S 1.098 6.541 -0.077
F 3.520 -1.077 1.581
F 3.503 1.974 -0.384
F -0.017 3.051 -1.965
F -2.405 4.567 0.307

---

Entry 7:
7
Lattice="3.557 0.000 0.000 0.000 8.662 -0.781 -1.778 -3.622 8.151" Properties=species:S:1:pos:R:3 comment="Pm3Pr2Dy2 (PBE, relaxed)" energy_ev_per_fu=-32.2 e_form_ev_per_fu=0.81 polymorph_energy_kj_per_mol_atoms=9.9 pbc="T T T"
Pm 0.000 5.362 2.839
Pm 1.778 -0.322 4.530
Pm 0.000 4.331 -0.391
Pr 1.778 7.425 0.357
Pr 0.000 -2.385 7.012
Dy 0.000 1.821 2.170
Dy 1.778 3.218 5.199

---

Entry 8:
5
Lattice="5.656 0.000 0.000 0.000 4.709 0.000 0.000 0.000 5.656" Properties=species:S:1:pos:R:3 comment="La2NbGaMo (PBE, relaxed)" energy_ev_per_fu=-28.7 e_form_ev_per_fu=5.13 pbc="T T T"
Ga 0.000 0.000 0.000
Mo 0.000 2.355 0.000
Nb 2.828 2.355 2.828
La 2.828 0.000 0.000
La 0.000 0.000 2.828

---

Entry 9:
5
Lattice="-0.257 -2.512 -3.274 1.218 -3.180 2.345 -3.943 -0.819 0.938" Properties=species:S:1:pos:R:3 comment="NaTeN3 (PBE, relaxed)" energy_ev_per_fu=-16.6 pbc="T T T"
N -0.128 -1.256 -1.637
N 0.609 -1.590 1.172
N -1.971 -0.409 0.469
Te -1.491 -3.256 0.004
Na 0.000 0.000 0.000

---

Entry 10:
5
Lattice="-2.751 -2.581 2.979 -0.479 -3.387 -3.377 3.913 -2.230 1.682" Properties=species:S:1:pos:R:3 comment="RbFe3W (PBE, relaxed)" energy_ev_per_fu=-31.7 e_form_ev_per_fu=7.61 polymorph_energy_kj_per_mol_atoms=0.0 pbc="T T T"
Rb 0.341 -4.099 0.642
Fe -1.376 -1.291 1.490
Fe 1.956 -1.115 0.841
Fe -0.239 -1.694 -1.689
W 0.000 0.000 0.000

---

Entry 11:
20
Lattice="-2.065 1.149 -2.813 -3.261 -8.931 -1.253 -7.230 1.793 6.040" Properties=species:S:1:pos:R:3 comment="Mg2Al2CdPd5 (PBE, relaxed)" energy_ev_per_fu=-43.8 e_form_ev_per_fu=-6.22 pbc="T T T"
Mg -3.447 -5.701 0.202
Mg -2.928 -0.960 1.757
Mg -7.563 -6.178 3.029
Mg -7.045 -1.437 4.584
Al -8.366 -4.010 4.504
Al -4.923 0.006 3.617
Al -2.125 -3.128 0.283
Al -5.568 -7.145 1.170
Pd -4.538 -2.677 -0.161
Pd -2.663 -3.891 -2.033
Pd -4.648 1.471 1.613
Pd -5.533 -7.300 -1.319
Pd -10.296 -4.862 3.174
Pd -8.019 -3.312 2.135
Pd -6.394 -4.973 0.264
Pd -6.163 -1.017 1.709
Pd -7.024 1.311 3.292
Pd -2.261 -1.128 -1.200
Cd 0.000 0.000 0.000
Cd -5.246 -3.569 2.393

---

Entry 12:
10
Lattice="5.790 0.000 0.000 -2.895 5.091 -0.441 0.000 -2.812 9.812" Properties=species:S:1:pos:R:3 comment="Rb2H2Se (PBE, relaxed)" energy_ev_per_fu=-14.1 polymorph_energy_kj_per_mol_atoms=24.7 pbc="T T T"
Rb 1.449 0.923 1.118
Rb 1.446 1.356 8.253
Rb -1.446 2.763 3.347
Rb 4.341 -0.483 6.024
H 1.445 -0.683 6.179
H 1.449 2.962 3.192
H -1.449 1.556 8.098
H 4.344 0.723 1.273
Se 4.344 -0.703 2.453
Se 1.446 -2.109 7.359